# ErWBrO4 | Alexandria | GGA+U | optimized geometry
data_ErWBrO4
_symmetry_space_group_name_H-M 'C 1 2/m 1'
_symmetry_Int_Tables_number 12
_cell_length_a 10.5651
_cell_length_b 7.2615
_cell_length_c 6.9757
_cell_angle_alpha 90.00
_cell_angle_beta 107.72
_cell_angle_gamma 90.00
loop_
_symmetry_equiv_pos_as_xyz
'x,y,z'
'-x,-y,-z'
'-x,y,-z'
'x,-y,z'
'x+1/2,y+1/2,z'
'-x+1/2,-y+1/2,-z'
'-x+1/2,y+1/2,-z'
'x+1/2,-y+1/2,z'
loop_
_atom_site_label
_atom_site_fract_x
_atom_site_fract_y
_atom_site_fract_z
_atom_site_occupancy
Er1 0.2304 0.0000 0.1221 1
W1 0.1345 0.5000 0.2642 1
Br1 0.0108 0.0000 0.7571 1
O1 0.0454 0.5000 0.8113 1
O2 0.1980 0.5000 0.5341 1
O3 0.2002 0.3063 0.1554 1
# * electronic total energy: -0.5235 Ry/atom
# * volume: 18.21 Å³/atom
# * magnetic moment: 0.00 μB/f.u.